VASP calculation (PBE) on crystalline AcDyNi3 at its relaxed geometry.

Summary:
Calculated density, g/cm³: 9.2
DFT formation energy, eV per atom: -0.341
V, A^3/atom: 20.4
Final energy, eV per atom: -5.551

a b c (Å): 12.409 12.409 4.085
angles (deg): 90.00 90.00 161.04
Atoms (fractional coordinates):
Ac 0.074 0.926 0.750
Ac 0.926 0.074 0.250
Dy 0.206 0.794 0.250
Dy 0.794 0.206 0.750
Ni 0.321 0.679 0.250
Ni 0.374 0.626 0.750
Ni 0.473 0.527 0.750
Ni 0.527 0.473 0.250
Ni 0.626 0.374 0.250
Ni 0.679 0.321 0.750